Record 1
Material: DyBi3Ru4O14
Method: DFT, SCAN
State: single point on PBEsol structure

Computed properties:
- raw formation energy (eV per formula unit) = -32.51
- space group = No. 166

Cell lengths 7.1974, 7.1974, 7.2322 Å; angles 60.16, 60.16, 60.00 degrees
Closest atoms and distances in Å follow each position.
Fractional coordinates of all 22 atoms:
Dy: 0.5000 0.5000 0.5000  2 O 2.14
Bi: 0.5000 0.5000 0.0000  2 O 2.23
Bi: 0.0000 0.5000 0.0000  2 O 2.23
Bi: 0.5000 0.0000 0.0000  2 O 2.23
Ru: 0.0000 0.0000 0.0000  6 O 1.97
Ru: 0.0000 0.0000 0.5000  6 O 1.98
Ru: 0.5000 0.0000 0.5000  6 O 1.98
Ru: 0.0000 0.5000 0.5000  6 O 1.98
O: 0.6205 0.6205 0.1385  1 Dy 2.14, 3 Bi 2.23
O: 0.3795 0.3795 0.8615  1 Dy 2.14, 3 Bi 2.23
O: 0.9217 0.3280 0.8287  2 Ru 1.97-1.98
O: 0.3280 0.9217 0.8287  2 Ru 1.97-1.98
O: 0.9217 0.9217 0.8287  2 Ru 1.97-1.98
O: 0.3301 0.9216 0.4183  2 Ru 1.98
O: 0.9216 0.3301 0.4183  2 Ru 1.98
O: 0.3301 0.3301 0.4183  2 Ru 1.98
O: 0.0783 0.6720 0.1713  2 Ru 1.97-1.98
O: 0.6720 0.0783 0.1713  2 Ru 1.97-1.98
O: 0.0783 0.0783 0.1713  2 Ru 1.97-1.98
O: 0.6699 0.0784 0.5817  2 Ru 1.98
O: 0.0784 0.6699 0.5817  2 Ru 1.98
O: 0.6699 0.6699 0.5817  2 Ru 1.98


Record 2
Material: Sr2DyBiO6
Method: DFT, SCAN
State: single point on PBEsol structure

Computed properties:
- raw formation energy (eV per formula unit) = -25.44
- space group = No. 225

Cell lengths 6.0077, 6.0077, 6.0077 Å; angles 60.00, 60.00, 60.00 degrees
Closest atoms and distances in Å follow each position.
Fractional coordinates of all 10 atoms:
Sr: 0.7500 0.7500 0.7500  12 O 3.00
Sr: 0.2500 0.2500 0.2500  12 O 3.00
Bi: 0.0000 0.0000 0.0000  6 O 2.08
O: 0.7551 0.2449 0.2449  1 Bi 2.08, 1 Dy 2.17
O: 0.2449 0.2449 0.7551  1 Bi 2.08, 1 Dy 2.17
O: 0.7551 0.7551 0.2449  1 Bi 2.08, 1 Dy 2.17
O: 0.2449 0.7551 0.2449  1 Bi 2.08, 1 Dy 2.17
O: 0.2449 0.7551 0.7551  1 Bi 2.08, 1 Dy 2.17
O: 0.7551 0.2449 0.7551  1 Bi 2.08, 1 Dy 2.17
Dy: 0.5000 0.5000 0.5000  6 O 2.17


Record 3
Material: Dy5BiPd2
Method: DFT, SCAN
State: single point on PBEsol structure

Computed properties:
- space group = No. 140
- DFT formation energy (kcal/mol of atoms) = -18.6

Cell lengths 7.7209, 8.6546, 7.7209 Å; angles 63.51, 90.00, 116.49 degrees
Closest atoms and distances in Å follow each position.
Fractional coordinates of all 16 atoms:
Dy: 0.0000 0.0000 0.0000  4 Pd 3.00, 2 Bi 3.36
Dy: 0.5000 0.0000 0.5000  4 Pd 3.00, 2 Bi 3.36
Dy: 0.7951 0.2799 0.0152  3 Pd 2.93-2.96, 2 Bi 3.27
Dy: 0.2049 0.7201 0.9848  3 Pd 2.93-2.96, 2 Bi 3.27
Dy: 0.4848 0.2799 0.7049  3 Pd 2.93-2.96, 2 Bi 3.27
Dy: 0.2951 0.2799 0.2049  3 Pd 2.93-2.96, 2 Bi 3.27
Dy: 0.0152 0.7201 0.4848  3 Pd 2.93-2.96, 2 Bi 3.27
Dy: 0.5152 0.7201 0.2951  3 Pd 2.93-2.96, 2 Bi 3.27
Dy: 0.7049 0.7201 0.7951  3 Pd 2.93-2.96, 2 Bi 3.27
Dy: 0.9848 0.2799 0.5152  3 Pd 2.93-2.96, 2 Bi 3.27
Bi: 0.2500 0.5000 0.7500  10 Dy 3.27-3.36
Bi: 0.7500 0.5000 0.2500  10 Dy 3.27-3.36
Pd: 0.1355 0.0000 0.6355  8 Dy 2.93-3.00, 1 Pd 2.96
Pd: 0.8645 0.0000 0.3645  8 Dy 2.93-3.00, 1 Pd 2.96
Pd: 0.6355 0.0000 0.8645  8 Dy 2.93-3.00, 1 Pd 2.96
Pd: 0.3645 0.0000 0.1355  8 Dy 2.93-3.00, 1 Pd 2.96


Record 4
Material: DyBiPt
Method: DFT, SCAN
State: single point on PBEsol structure

Computed properties:
- space group = No. 216
- DFT formation energy (kcal/mol of atoms) = -29.6

Cell lengths 4.6937, 4.6937, 4.6937 Å; angles 60.00, 60.00, 60.00 degrees
Closest atoms and distances in Å follow each position.
Fractional coordinates of all 3 atoms:
Bi: 0.0000 0.0000 0.0000  4 Pt 2.87
Pt: 0.7500 0.7500 0.7500  4 Dy 2.87, 4 Bi 2.87
Dy: 0.5000 0.5000 0.5000  4 Pt 2.87